1.
The following is a PBE calculation of SmTmCu2Si2 after structural relaxation, from the Alexandria database.

abc: 4.1676 4.1676 7.4784
angles: 90.00 90.00 120.00
Closest atoms and distances in Å follow each position.
Sites, in units of the cell vectors:
Si (0.3333, 0.6667, 0.2603)  3 Cu 2.41
Si (0.6667, 0.3333, 0.7397)  3 Cu 2.41
Cu (0.3333, 0.6667, 0.7319)  3 Si 2.41
Cu (0.6667, 0.3333, 0.2681)  3 Si 2.41
Sm (0.0000, 0.0000, 0.0000)  6 Si 3.09, 6 Cu 3.13
Tm (0.0000, 0.0000, 0.5000)  6 Cu 2.97, 6 Si 3.00

Values from the calculation:
formation energy from raw total energies	-382	kJ/mol of formula units
space group	P-3m1



2.
The following is a PBE calculation of SrLa2Ni after structural relaxation, from the Alexandria database.

abc: 4.1465 4.1465 10.3497
angles: 78.44 78.44 60.00
Closest atoms and distances in Å follow each position.
Sites, in units of the cell vectors:
La (0.2827, 0.2827, 0.1520)  3 Ni 2.83
La (0.0501, 0.0501, 0.8497)  3 Ni 2.84
Ni (0.6660, 0.6660, 0.0021)  6 La 2.83-2.84
Sr (0.5013, 0.5013, 0.4962)  6 Sr 4.15, 6 La 4.21-4.29

Values from the calculation:
ΔE_f	-0.108	eV/atom
space group	R3m
energy above the lowest structure with this stoichiometry	0	meV per atom



3.
The following is a PBE calculation of HgN2F2 after structural relaxation, from the Alexandria database.

abc: 4.5252 4.5252 4.3246
angles: 90.00 90.00 90.00
Closest atoms and distances in Å follow each position.
Sites, in units of the cell vectors:
N (0.0000, 0.0000, 0.5000)  2 Hg 2.16
N (0.5000, 0.5000, 0.5000)  8 F 3.13, 4 N 3.20
F (0.0000, 0.5000, 0.0000)  2 Hg 2.26
F (0.5000, 0.0000, 0.0000)  2 Hg 2.26
Hg (0.0000, 0.0000, 0.0000)  2 N 2.16, 4 F 2.26

Values from the calculation:
formation energy from raw total energies	620	kJ/mol of formula units
space group	P4/mmm
energy above the lowest structure with this stoichiometry	2108	meV per atom



4.
The following is a PBE calculation of Ag2PtBr after structural relaxation, from the Alexandria database.

abc: 4.7774 4.7774 4.7774
angles: 60.00 60.00 60.00
Closest atoms and distances in Å follow each position.
Sites, in units of the cell vectors:
Br (0.0000, 0.0000, 0.0000)  8 Ag 2.93
Ag (0.7500, 0.7500, 0.7500)  4 Br 2.93, 4 Pt 2.93
Ag (0.2500, 0.2500, 0.2500)  4 Pt 2.93, 4 Br 2.93
Pt (0.5000, 0.5000, 0.5000)  8 Ag 2.93

Values from the calculation:
formation energy from raw total energies	154	kJ/mol of formula units
space group	Fm-3m
energy above the lowest structure with this stoichiometry	266	meV per atom



5.
The following is a PBE calculation of AcHgTe2O6 after structural relaxation, from the Alexandria database.

abc: 7.9132 7.5153 7.5153
angles: 72.59 61.40 61.40
Closest atoms and distances in Å follow each position.
Sites, in units of the cell vectors:
Hg (0.7500, 0.2077, 0.7923)  4 O 2.51-2.71
Hg (0.2500, 0.7923, 0.2077)  4 O 2.51-2.71
Te (0.2263, 0.3380, 0.2855)  3 O 1.91-1.93
Te (0.7737, 0.6620, 0.7145)  3 O 1.91-1.93
Te (0.2737, 0.7145, 0.6620)  3 O 1.91-1.93
Te (0.7263, 0.2855, 0.3380)  3 O 1.91-1.93
O (0.1248, 0.8309, 0.9154)  1 Te 1.91
O (0.4163, 0.4339, 0.7415)  1 Te 1.92
O (0.0057, 0.4228, 0.1957)  1 Te 1.93
O (0.5057, 0.1957, 0.4228)  1 Te 1.93
O (0.9163, 0.7415, 0.4339)  1 Te 1.92
O (0.4943, 0.8043, 0.5772)  1 Te 1.93
O (0.6248, 0.9154, 0.8309)  1 Te 1.91
O (0.5837, 0.5661, 0.2585)  1 Te 1.92
O (0.0837, 0.2585, 0.5661)  1 Te 1.92
O (0.9943, 0.5772, 0.8043)  1 Te 1.93
O (0.8752, 0.1691, 0.0846)  1 Te 1.91
O (0.3752, 0.0846, 0.1691)  1 Te 1.91
Ac (0.2500, 0.1827, 0.8173)  6 O 2.58-2.70
Ac (0.7500, 0.8173, 0.1827)  6 O 2.58-2.70

Values from the calculation:
formation energy from raw total energies	-1452	kJ/mol of formula units
space group	C2/c



6.
The following is a PBE calculation of SnBiP after structural relaxation, from the Alexandria database.

abc: 4.2060 5.8226 7.1416
angles: 76.84 81.53 74.11
Closest atoms and distances in Å follow each position.
Sites, in units of the cell vectors:
P (0.0636, 0.8043, 0.4997)  1 P 2.19
P (0.9364, 0.1957, 0.5003)  1 P 2.19
Bi (0.1999, 0.1681, 0.8614)  1 P 2.91, 1 Bi 3.10, 1 Sn 3.16
Bi (0.8001, 0.8319, 0.1386)  1 P 2.91, 1 Bi 3.10, 1 Sn 3.16
Sn (0.4324, 0.3388, 0.2535)  2 P 2.71-2.79
Sn (0.5676, 0.6612, 0.7465)  2 P 2.71-2.79

Values from the calculation:
ΔE_f	0.101	eV/atom
space group	P-1
energy above the lowest structure with this stoichiometry	52	meV per atom



7.
The following is a PBE calculation of Dy2UC after structural relaxation, from the Alexandria database.

abc: 3.3794 3.3794 9.8586
angles: 80.13 80.13 60.00
Closest atoms and distances in Å follow each position.
Sites, in units of the cell vectors:
C (0.5000, 0.5000, 0.5000)  6 Dy 2.39
U (0.0000, 0.0000, 0.0000)  6 U 3.38, 2 Dy 3.45
Dy (0.8811, 0.8811, 0.3566)  3 C 2.39
Dy (0.1189, 0.1189, 0.6434)  3 C 2.39

Values from the calculation:
ΔE_f	0.258	eV/atom
space group	R-3m



8.
The following is a PBE calculation of Pm3NdSmY after structural relaxation, from the Alexandria database.

abc: 5.9964 6.4166 11.9904
angles: 90.00 90.00 117.86
Closest atoms and distances in Å follow each position.
Sites, in units of the cell vectors:
Nd (0.0000, 0.0000, 0.5000)  8 Pm 3.42-3.75, 2 Y 3.55
Nd (0.0000, 0.0000, 0.0000)  8 Pm 3.42-3.75, 2 Y 3.55
Pm (0.1451, 0.2902, 0.7500)  2 Sm 3.30, 2 Nd 3.42, 2 Pm 3.45, 3 Y 3.56-3.67
Pm (0.3293, 0.6586, 0.5213)  3 Pm 3.45-3.53, 2 Sm 3.52-3.66, 3 Nd 3.58-3.75, 1 Y 3.73
Pm (0.3293, 0.6586, 0.9787)  3 Pm 3.45-3.53, 2 Sm 3.52-3.66, 3 Nd 3.58-3.75, 1 Y 3.73
Pm (0.6707, 0.3414, 0.0213)  3 Pm 3.45-3.53, 2 Sm 3.52-3.66, 3 Nd 3.58-3.75, 1 Y 3.73
Pm (0.6707, 0.3414, 0.4787)  3 Pm 3.45-3.53, 2 Sm 3.52-3.66, 3 Nd 3.58-3.75, 1 Y 3.73
Pm (0.8549, 0.7098, 0.2500)  2 Sm 3.30, 2 Nd 3.42, 2 Pm 3.45, 3 Y 3.56-3.67
Sm (0.4765, 0.9530, 0.2500)  6 Pm 3.30-3.66, 1 Y 3.50
Sm (0.5235, 0.0470, 0.7500)  6 Pm 3.30-3.66, 1 Y 3.50
Y (0.1684, 0.3368, 0.2500)  3 Sm 3.50-3.71, 2 Nd 3.55, 5 Pm 3.56-3.73
Y (0.8316, 0.6632, 0.7500)  3 Sm 3.50-3.71, 2 Nd 3.55, 5 Pm 3.56-3.73

Values from the calculation:
ΔE_f	0.115	eV/atom
space group	Cmcm



9.
The following is a PBE calculation of OsBr3F after structural relaxation, from the Alexandria database.

abc: 8.2458 9.0094 8.5938
angles: 94.83 90.00 90.00
Closest atoms and distances in Å follow each position.
Sites, in units of the cell vectors:
Br (0.3081, 0.1502, 0.4946)  1 Os 2.38
Br (0.8851, 0.3034, 0.5187)  1 Os 2.38
Br (0.1919, 0.6502, 0.9946)  1 Os 2.38
Br (0.0254, 0.9765, 0.2092)  1 Os 2.45
Br (0.5254, 0.5235, 0.2908)  1 Os 2.45
Br (0.6919, 0.8498, 0.5054)  1 Os 2.38
Br (0.3851, 0.1966, 0.9813)  1 Os 2.38
Br (0.9746, 0.0235, 0.7908)  1 Os 2.45
Br (0.1149, 0.6966, 0.4813)  1 Os 2.38
Br (0.6149, 0.8034, 0.0187)  1 Os 2.38
Br (0.4746, 0.4765, 0.7092)  1 Os 2.45
Br (0.8081, 0.3498, 0.0054)  1 Os 2.38
F (0.7157, 0.0898, 0.2897)  1 Os 2.01
F (0.2157, 0.4102, 0.2103)  1 Os 2.01
F (0.2843, 0.9102, 0.7103)  1 Os 2.01
F (0.7843, 0.5898, 0.7897)  1 Os 2.01
Os (0.6220, 0.5414, 0.9524)  1 F 2.01
Os (0.3780, 0.4586, 0.0476)  1 F 2.01
Os (0.8780, 0.0414, 0.4524)  1 F 2.01
Os (0.1220, 0.9586, 0.5476)  1 F 2.01

Values from the calculation:
formation energy from raw total energies	-137	kJ/mol of formula units
space group	P2_1/c
energy above the lowest structure with this stoichiometry	0	meV per atom



10.
The following is a PBE calculation of Th3InGa after structural relaxation, from the Alexandria database.

abc: 6.7891 6.7892 14.4397
angles: 83.85 83.85 61.94
Closest atoms and distances in Å follow each position.
Sites, in units of the cell vectors:
Ga (0.4874, 0.5126, 0.7500)  2 In 2.73, 2 Th 3.05
Ga (0.5000, 0.0000, 0.0000)  6 Th 2.98-3.07
Ga (0.5126, 0.4874, 0.2500)  2 In 2.73, 2 Th 3.05
Ga (0.0000, 0.5000, 0.5000)  6 Th 2.98-3.07
Th (0.1867, 0.4332, 0.9061)  2 Ga 2.98-3.05, 1 Th 3.25, 2 In 3.31-3.32
Th (0.0552, 0.3013, 0.6982)  1 Ga 3.01
Th (0.4332, 0.1866, 0.4060)  2 Ga 2.98-3.05, 1 Th 3.25, 2 In 3.31-3.32
Th (0.2103, 0.9033, 0.8810)  2 Ga 3.07-3.13, 2 Th 3.25-3.43, 2 In 3.41-3.42
Th (0.7897, 0.0967, 0.1190)  2 Ga 3.07-3.13, 2 Th 3.25-3.43, 2 In 3.41-3.42
Th (0.5668, 0.8134, 0.5940)  2 Ga 2.98-3.05, 1 Th 3.25, 2 In 3.31-3.32
Th (0.6988, 0.9448, 0.8019)  1 Ga 3.01
Th (0.0966, 0.7898, 0.6192)  2 Ga 3.07-3.12, 2 Th 3.25-3.43, 2 In 3.41-3.42
Th (0.8133, 0.5668, 0.0939)  2 Ga 2.98-3.05, 1 Th 3.25, 2 In 3.31-3.32
Th (0.9034, 0.2102, 0.3808)  2 Ga 3.07-3.12, 2 Th 3.25-3.43, 2 In 3.41-3.42
Th (0.9448, 0.6987, 0.3018)  1 Ga 3.01
Th (0.3012, 0.0552, 0.1981)  1 Ga 3.01
In (0.2773, 0.6138, 0.0937)  1 Ga 2.73
In (0.6137, 0.2775, 0.5937)  1 Ga 2.73
In (0.3863, 0.7225, 0.4063)  1 Ga 2.73
In (0.7227, 0.3862, 0.9063)  1 Ga 2.73

Values from the calculation:
ΔE_f	-0.114	eV/atom
space group	C2/c



11.
The following is a PBE calculation of Ac2PuSb3Pd6 after structural relaxation, from the Alexandria database.

abc: 4.3975 4.3975 16.7316
angles: 90.00 90.00 90.00
Closest atoms and distances in Å follow each position.
Sites, in units of the cell vectors:
Sb (0.0000, 0.0000, 0.0000)  2 Pd 2.49
Sb (0.0000, 0.0000, 0.3028)  5 Pd 2.58-2.63
Sb (0.0000, 0.0000, 0.6972)  5 Pd 2.58-2.63
Pd (0.0000, 0.5000, 0.6106)  2 Sb 2.63, 2 Pu 2.87
Pd (0.0000, 0.5000, 0.3894)  2 Sb 2.63, 2 Pu 2.87
Pd (0.5000, 0.0000, 0.6106)  2 Sb 2.63, 2 Pu 2.87
Pd (0.0000, 0.0000, 0.8515)  2 Sb 2.49-2.58
Pd (0.5000, 0.0000, 0.3894)  2 Sb 2.63, 2 Pu 2.87
Pd (0.0000, 0.0000, 0.1485)  2 Sb 2.49-2.58
Ac (0.5000, 0.5000, 0.2006)  4 Pd 3.23, 4 Sb 3.55
Ac (0.5000, 0.5000, 0.7994)  4 Pd 3.23, 4 Sb 3.55
Pu (0.5000, 0.5000, 0.5000)  8 Pd 2.87

Values from the calculation:
formation energy from raw total energies	-586	kJ/mol of formula units
space group	P4/mmm



no.,calculated density (g cm⁻³),spin magnetization (μB/f.u.)
1,7.42,0.00
2,4.70,0.01
3,5.00,5.18
4,10.57,0.00
5,7.54,0.00
6,7.30,0.00
7,9.99,2.75
8,6.66,0.00
9,4.69,0.00
10,10.04,0.00
11,8.73,4.93